No. 1
Here is SrTlCr2 after structural relaxation from the Alexandria database. Energies are from PBE. Values from VASP.

Structure (Quantum ESPRESSO input):
```
&SYSTEM
  ibrav = 0, nat = 4, ntyp = 3
/
ATOMIC_SPECIES
Cr 52.00 Cr.upf
Sr 87.62 Sr.upf
Tl 204.38 Tl.upf
CELL_PARAMETERS angstrom
-0.3529 -2.7993 3.9272
2.7746 -3.7188 -2.4015
3.7310 1.7591 1.5891
ATOMIC_POSITIONS angstrom
Cr 2.2665 -2.7012 -1.7218
Cr 3.7609 -1.9974 -1.0858
Sr 1.4500 -1.8896 1.7605
Tl 4.7028 -2.8694 1.3543
```

Calculated values
Calculated total energy = -5.080 eV/atom
Energy above the most stable polymorph in this dataset = 377 meV per atom
Crystal system = orthorhombic
Energy relative to the elements = 0.7435 eV per atom

---

No. 2
Here is Sr2TlCr2 after structural relaxation from the Alexandria database. Energies are from PBE. Values from VASP.

Structure (Quantum ESPRESSO input):
```
&SYSTEM
  ibrav = 0, nat = 5, ntyp = 3
/
ATOMIC_SPECIES
Sr 87.62 Sr.upf
Tl 204.38 Tl.upf
Cr 52.00 Cr.upf
CELL_PARAMETERS angstrom
-4.3436 -1.5954 -2.3121
-1.1576 -2.8628 4.1500
-5.7221 2.4173 3.2952
ATOMIC_POSITIONS angstrom
Sr -6.4082 -0.7035 0.9510
Sr -4.8152 -1.3372 4.1821
Tl 0.0000 0.0000 0.0000
Cr -3.1743 -1.5665 1.2578
Cr -8.0490 -0.4743 3.8753
```

Calculated values
Calculated total energy = -4.076 eV/atom
Crystal system = tetragonal
Energy relative to the elements = 0.9196 eV per atom

---

No. 3
Here is SrTlCr2 after structural relaxation from the Alexandria database. Energies are from PBE. Values from VASP.

Structure (Quantum ESPRESSO input):
```
&SYSTEM
  ibrav = 0, nat = 4, ntyp = 3
/
ATOMIC_SPECIES
Cr 52.00 Cr.upf
Sr 87.62 Sr.upf
Tl 204.38 Tl.upf
CELL_PARAMETERS angstrom
3.3798 0.0000 0.0000
0.0000 3.3798 0.0000
0.0000 0.0000 7.9018
ATOMIC_POSITIONS angstrom
Cr 0.0000 0.0000 0.3903
Cr 1.6899 1.6899 1.3309
Sr 0.0000 0.0000 3.8009
Tl 1.6899 1.6899 6.3306
```

Calculated values
Calculated total energy = -5.457 eV/atom
Energy above the most stable polymorph in this dataset = 0 meV per atom
Crystal system = tetragonal
Energy relative to the elements = 0.3665 eV per atom

---

No. 4
Here is Sr2TlCr2 after structural relaxation from the Alexandria database. Energies are from PBE. Values from VASP.

Structure (Quantum ESPRESSO input):
```
&SYSTEM
  ibrav = 0, nat = 10, ntyp = 3
/
ATOMIC_SPECIES
Sr 87.62 Sr.upf
Tl 204.38 Tl.upf
Cr 52.00 Cr.upf
CELL_PARAMETERS angstrom
7.3471 0.0000 0.0000
0.0000 7.3471 0.0000
0.0000 0.0000 5.0599
ATOMIC_POSITIONS angstrom
Sr 1.4200 5.0936 2.5299
Sr 5.0936 5.9271 2.5299
Sr 5.9271 2.2535 2.5299
Sr 2.2535 1.4200 2.5299
Tl 0.0000 0.0000 0.0000
Tl 3.6736 3.6736 0.0000
Cr 3.0400 6.7136 0.0000
Cr 6.7136 4.3071 0.0000
Cr 4.3071 0.6335 0.0000
Cr 0.6335 3.0400 0.0000
```

Calculated values
Calculated total energy = -4.476 eV/atom
Crystal system = tetragonal
Energy relative to the elements = 0.5198 eV per atom